# 1
The following is a DFT calculation (PBE) of a geometry-optimized PaFe2Sn structure.

Structure (CIF):
```
data_PaFe2Sn
_symmetry_space_group_name_H-M 'R -3 m'
_symmetry_Int_Tables_number 166
_symmetry_space_group_name_Hall '-R 3 2"'
_cell_length_a 4.6266
_cell_length_b 4.6266
_cell_length_c 11.9160
_cell_angle_alpha 90.00
_cell_angle_beta 90.00
_cell_angle_gamma 120.00
loop_
_atom_site_label
_atom_site_type_symbol
_atom_site_fract_x
_atom_site_fract_y
_atom_site_fract_z
Pa1 Pa 0.0000 0.0000 0.0000
Fe1 Fe 0.0000 0.0000 0.1887
Sn1 Sn 0.0000 0.0000 0.5000
```

Output
**V**: 18.41 Å³/atom
**Raw total energy**: -7.805 eV/atom
**Energy relative to the lowest polymorph listed for this composition**: 0 meV per atom
**ΔH_f (0 K)**: -0.199 eV/atom

***

# 2
The following is a DFT calculation (PBE) of a geometry-optimized Pa2FeSn structure.

Structure (CIF):
```
data_Pa2FeSn
_symmetry_space_group_name_H-M 'R -3 m'
_symmetry_Int_Tables_number 166
_symmetry_space_group_name_Hall '-R 3 2"'
_cell_length_a 3.7307
_cell_length_b 3.7307
_cell_length_c 23.9322
_cell_angle_alpha 90.00
_cell_angle_beta 90.00
_cell_angle_gamma 120.00
loop_
_atom_site_label
_atom_site_type_symbol
_atom_site_fract_x
_atom_site_fract_y
_atom_site_fract_z
Pa1 Pa 0.0000 0.0000 0.2293
Fe1 Fe 0.0000 0.0000 0.5000
Sn1 Sn 0.0000 0.0000 0.0000
```

Output
**V**: 24.04 Å³/atom
**Raw total energy**: -7.987 eV/atom
**Energy relative to the lowest polymorph listed for this composition**: 91 meV per atom
**ΔH_f (0 K)**: -0.123 eV/atom

***

# 3
The following is a DFT calculation (PBE) of a geometry-optimized PaZnFeSn structure.

Structure (CIF):
```
data_PaZnFeSn
_symmetry_space_group_name_H-M 'F -4 3 m'
_symmetry_Int_Tables_number 216
_symmetry_space_group_name_Hall 'F -4 2 3'
_cell_length_a 6.680
_cell_length_b 6.680
_cell_length_c 6.680
_cell_angle_alpha 90.00
_cell_angle_beta 90.00
_cell_angle_gamma 90.00
loop_
_atom_site_label
_atom_site_type_symbol
_atom_site_fract_x
_atom_site_fract_y
_atom_site_fract_z
Pa1 Pa 0.000 0.000 0.000
Zn1 Zn 0.250 0.250 0.250
Fe1 Fe 0.250 0.250 0.750
Sn1 Sn 0.000 0.000 0.500
```

Output
**V**: 18.63 Å³/atom
**Raw total energy**: -5.827 eV/atom
**ΔH_f (0 K)**: -0.018 eV/atom

***

# 4
The following is a DFT calculation (PBE) of a geometry-optimized SrPaFe structure.

Structure (CIF):
```
data_SrPaFe
_symmetry_space_group_name_H-M 'C 1 2/m 1'
_symmetry_Int_Tables_number 12
_symmetry_space_group_name_Hall '-C 2y'
_cell_length_a 7.213
_cell_length_b 4.143
_cell_length_c 12.249
_cell_angle_alpha 90.00
_cell_angle_beta 101.34
_cell_angle_gamma 90.00
loop_
_atom_site_label
_atom_site_type_symbol
_atom_site_fract_x
_atom_site_fract_y
_atom_site_fract_z
Sr1 Sr 0.116 0.000 0.345
Pa1 Pa 0.133 0.500 0.896
Fe1 Fe 0.214 0.500 0.132
```

Output
**V**: 29.91 Å³/atom
**Raw total energy**: -6.515 eV/atom
**ΔH_f (0 K)**: 0.032 eV/atom

***

# 5
The following is a DFT calculation (PBE) of a geometry-optimized PaTaFe structure.

Structure (CIF):
```
data_PaTaFe
_symmetry_space_group_name_H-M 'R -3 m'
_symmetry_Int_Tables_number 166
_symmetry_space_group_name_Hall '-R 3 2"'
_cell_length_a 4.6268
_cell_length_b 4.6268
_cell_length_c 18.6791
_cell_angle_alpha 90.00
_cell_angle_beta 90.00
_cell_angle_gamma 120.00
loop_
_atom_site_label
_atom_site_type_symbol
_atom_site_fract_x
_atom_site_fract_y
_atom_site_fract_z
Pa1 Pa 0.0000 0.0000 0.1266
Ta1 Ta 0.0000 0.0000 0.3635
Fe1 Fe 0.0000 0.0000 0.0000
Fe2 Fe 0.0000 0.0000 0.5000
```

Output
**V**: 19.24 Å³/atom
**Raw total energy**: -9.839 eV/atom
**Energy relative to the lowest polymorph listed for this composition**: 73 meV per atom
**ΔH_f (0 K)**: 0.098 eV/atom

***

# 6
The following is a DFT calculation (PBE) of a geometry-optimized PaTa2Fe structure.

Structure (CIF):
```
data_PaTa2Fe
_symmetry_space_group_name_H-M 'R -3 m'
_symmetry_Int_Tables_number 166
_symmetry_space_group_name_Hall '-R 3 2"'
_cell_length_a 2.9633
_cell_length_b 2.9633
_cell_length_c 29.1655
_cell_angle_alpha 90.00
_cell_angle_beta 90.00
_cell_angle_gamma 120.00
loop_
_atom_site_label
_atom_site_type_symbol
_atom_site_fract_x
_atom_site_fract_y
_atom_site_fract_z
Pa1 Pa 0.0000 0.0000 0.0000
Ta1 Ta 0.0000 0.0000 0.0978
Fe1 Fe 0.0000 0.0000 0.5000
```

Output
**V**: 18.48 Å³/atom
**Raw total energy**: -9.942 eV/atom
**Energy relative to the lowest polymorph listed for this composition**: 394 meV per atom
**ΔH_f (0 K)**: 0.474 eV/atom